The following is a GGA-PBE calculation of a relaxed Er2Pu3ScS6 crystal, from Alexandria.

Cell lengths 23.6768, 3.7312, 6.8408 Å; angles 90.00, 90.27, 90.00 degrees
Space group C2/m (No. 12)
Inequivalent atoms, fractional coordinates:
Er: 0.2247 0.0000 0.2493 (multiplicity 4)
Pu: 0.0000 0.0000 0.5000 (multiplicity 2)
Pu: 0.1318 0.0000 0.7480 (multiplicity 4)
Sc: 0.0000 0.0000 0.0000 (multiplicity 2)
S: 0.0395 0.5000 0.7746 (multiplicity 4)
S: 0.1827 0.5000 0.4988 (multiplicity 4)
S: 0.1831 0.5000 0.9987 (multiplicity 4)

## Properties
**N(E_F)**: 52.16 states/eV per cell
**Electronic total energy**: -8.46 eV per atom
**E_form (uncorrected)**: -1.53 eV per atom
**ρ**: 7.2 Mg/m³
**Total magnetic moment**: 1.627 μB per atom

***

The following is a GGA-PBE calculation of a relaxed Er3Pu3ScS8 crystal, from Alexandria.

Cell lengths 7.7668, 7.7668, 19.1368 Å; angles 90.00, 90.00, 120.00 degrees
Space group R-3m (No. 166, hexagonal axes)
Inequivalent atoms, fractional coordinates:
Er: 0.0000 0.5000 0.0000 (multiplicity 9)
Pu: 0.0000 0.5000 0.5000 (multiplicity 9)
Sc: 0.0000 0.0000 0.0000 (multiplicity 3)
S: 0.0000 0.0000 0.2519 (multiplicity 6)
S: 0.0075 0.5038 0.7454 (multiplicity 18)

## Properties
**N(E_F)**: 84.88 states/eV per cell
**Electronic total energy**: -8.32 eV per atom
**E_form (uncorrected)**: -1.92 eV per atom
**ρ**: 7.7 Mg/m³
**Total magnetic moment**: 1.137 μB per atom

***

The following is a GGA-PBE calculation of a relaxed ErPu2ScS4 crystal, from Alexandria.

Cell lengths 6.6643, 3.8494, 6.7574 Å; angles 90.00, 109.19, 90.00 degrees
Space group P2/m (No. 10)
Inequivalent atoms, fractional coordinates:
Er: 0.0000 0.0000 0.0000 (multiplicity 1)
Pu: 0.0000 0.5000 0.5000 (multiplicity 1)
Pu: 0.5000 0.0000 0.5000 (multiplicity 1)
Sc: 0.5000 0.5000 0.0000 (multiplicity 1)
S: 0.2520 0.5000 0.2389 (multiplicity 2)
S: 0.2607 0.0000 0.7649 (multiplicity 2)

## Properties
**N(E_F)**: 15.62 states/eV per cell
**Electronic total energy**: -8.87 eV per atom
**E_form (uncorrected)**: -1.86 eV per atom
**ρ**: 8.4 Mg/m³
**Total magnetic moment**: 1.428 μB per atom

***

The following is a GGA-PBE calculation of a relaxed Er2PuSc3S6 crystal, from Alexandria.

Cell lengths 16.5427, 3.7777, 7.6101 Å; angles 90.00, 103.37, 90.00 degrees
Space group C2/m (No. 12)
Inequivalent atoms, fractional coordinates:
Er: 0.1640 0.0000 0.3294 (multiplicity 4)
Pu: 0.0000 0.5000 0.0000 (multiplicity 2)
Sc: 0.0000 0.5000 0.5000 (multiplicity 2)
Sc: 0.1647 0.0000 0.8379 (multiplicity 4)
S: 0.0031 0.0000 0.7382 (multiplicity 4)
S: 0.1654 0.5000 0.5908 (multiplicity 4)
S: 0.1721 0.5000 0.0794 (multiplicity 4)

## Properties
**N(E_F)**: 15.33 states/eV per cell
**Electronic total energy**: -7.50 eV per atom
**E_form (uncorrected)**: -1.90 eV per atom
**ρ**: 6.5 Mg/m³
**Total magnetic moment**: 0.487 μB per atom

***

The following is a GGA-PBE calculation of a relaxed ErPuSeS crystal, from Alexandria.

Cell lengths 3.9639, 3.9639, 19.9762 Å; angles 90.00, 90.00, 120.00 degrees
Space group R3m (No. 160, hexagonal axes)
Inequivalent atoms, fractional coordinates:
Er: 0.0000 0.0000 0.0000 (multiplicity 3)
Pu: 0.0000 0.0000 0.4883 (multiplicity 3)
Se: 0.0000 0.0000 0.2472 (multiplicity 3)
S: 0.0000 0.0000 0.7415 (multiplicity 3)

## Properties
**N(E_F)**: 22.74 states/eV per cell
**Electronic total energy**: -8.40 eV per atom
**E_form (uncorrected)**: -1.77 eV per atom
**ρ**: 9.6 Mg/m³
**Total magnetic moment**: 1.459 μB per atom

***

The following is a GGA-PBE calculation of a relaxed ErPuSeS2 crystal, from Alexandria.

Cell lengths 6.1205, 13.3754, 6.0788 Å; angles 90.00, 90.00, 90.00 degrees
Space group Cmcm (No. 63)
Inequivalent atoms, fractional coordinates:
Er: 0.0000 0.1121 0.2500 (multiplicity 4)
Pu: 0.0000 0.3794 0.2500 (multiplicity 4)
Se: 0.0000 0.2507 0.7500 (multiplicity 4)
S: 0.2490 0.5000 0.0000 (multiplicity 8)

## Properties
**N(E_F)**: 38.44 states/eV per cell
**Electronic total energy**: -7.50 eV per atom
**E_form (uncorrected)**: -1.37 eV per atom
**ρ**: 7.4 Mg/m³
**Total magnetic moment**: 1.000 μB per atom

***

The following is a GGA-PBE calculation of a relaxed ErPu2Se2S2 crystal, from Alexandria.

Cell lengths 5.0543, 5.0543, 14.7920 Å; angles 90.00, 90.00, 90.00 degrees
Space group I4/mmm (No. 139)
Inequivalent atoms, fractional coordinates:
Er: 0.0000 0.0000 0.0000 (multiplicity 2)
Pu: 0.0000 0.0000 0.3765 (multiplicity 4)
Se: 0.0000 0.0000 0.1863 (multiplicity 4)
S: 0.0000 0.5000 0.0000 (multiplicity 4)

## Properties
**N(E_F)**: 48.56 states/eV per cell
**Electronic total energy**: -8.36 eV per atom
**E_form (uncorrected)**: -1.44 eV per atom
**ρ**: 7.7 Mg/m³
**Total magnetic moment**: 1.570 μB per atom

***

The following is a GGA-PBE calculation of a relaxed Sm3Er3PuS8 crystal, from Alexandria.

Cell lengths 7.8455, 7.8455, 19.3887 Å; angles 90.00, 90.00, 120.00 degrees
Space group R-3m (No. 166, hexagonal axes)
Inequivalent atoms, fractional coordinates:
Sm: 0.0000 0.5000 0.0000 (multiplicity 9)
Er: 0.0000 0.5000 0.5000 (multiplicity 9)
Pu: 0.0000 0.0000 0.5000 (multiplicity 3)
S: 0.0000 0.0000 0.2459 (multiplicity 6)
S: 0.0083 0.5041 0.7523 (multiplicity 18)

## Properties
**N(E_F)**: 41.32 states/eV per cell
**Electronic total energy**: -7.01 eV per atom
**E_form (uncorrected)**: -1.99 eV per atom
**ρ**: 7.0 Mg/m³
**Total magnetic moment**: 0.413 μB per atom

***

The following is a GGA-PBE calculation of a relaxed Sm3Er2PuS6 crystal, from Alexandria.

Cell lengths 17.2497, 3.9261, 7.9484 Å; angles 90.00, 103.57, 90.00 degrees
Space group C2/m (No. 12)
Inequivalent atoms, fractional coordinates:
Sm: 0.0000 0.0000 0.0000 (multiplicity 2)
Sm: 0.1647 0.5000 0.3353 (multiplicity 4)
Er: 0.1642 0.5000 0.8283 (multiplicity 4)
Pu: 0.0000 0.0000 0.5000 (multiplicity 2)
S: 0.0030 0.5000 0.7481 (multiplicity 4)
S: 0.1667 0.0000 0.5924 (multiplicity 4)
S: 0.1706 0.0000 0.0756 (multiplicity 4)

## Properties
**N(E_F)**: 14.95 states/eV per cell
**Electronic total energy**: -7.18 eV per atom
**E_form (uncorrected)**: -1.98 eV per atom
**ρ**: 7.8 Mg/m³
**Total magnetic moment**: 0.486 μB per atom

***

The following is a GGA-PBE calculation of a relaxed SmErPu2S4 crystal, from Alexandria.

Cell lengths 6.8262, 3.9357, 6.8571 Å; angles 90.00, 109.33, 90.00 degrees
Space group P2/m (No. 10)
Inequivalent atoms, fractional coordinates:
Sm: 0.0000 0.0000 0.0000 (multiplicity 1)
Er: 0.5000 0.5000 0.0000 (multiplicity 1)
Pu: 0.0000 0.5000 0.5000 (multiplicity 1)
Pu: 0.5000 0.0000 0.5000 (multiplicity 1)
S: 0.2562 0.5000 0.2513 (multiplicity 2)
S: 0.2571 0.0000 0.7535 (multiplicity 2)

## Properties
**N(E_F)**: 15.45 states/eV per cell
**Electronic total energy**: -8.71 eV per atom
**E_form (uncorrected)**: -1.90 eV per atom
**ρ**: 8.9 Mg/m³
**Total magnetic moment**: 1.420 μB per atom

***

The following is a GGA-PBE calculation of a relaxed Sm4Er3PuS8 crystal, from Alexandria.

Cell lengths 7.8781, 7.8781, 19.4223 Å; angles 90.00, 90.00, 120.00 degrees
Space group R-3m (No. 166, hexagonal axes)
Inequivalent atoms, fractional coordinates:
Sm: 0.0000 0.0000 0.0000 (multiplicity 3)
Sm: 0.0000 0.5000 0.0000 (multiplicity 9)
Er: 0.0000 0.5000 0.5000 (multiplicity 9)
Pu: 0.0000 0.0000 0.5000 (multiplicity 3)
S: 0.0000 0.0000 0.2454 (multiplicity 6)
S: 0.0034 0.5017 0.7536 (multiplicity 18)

## Properties
**N(E_F)**: 36.68 states/eV per cell
**Electronic total energy**: -6.97 eV per atom
**E_form (uncorrected)**: -1.98 eV per atom
**ρ**: 7.7 Mg/m³
**Total magnetic moment**: 0.354 μB per atom

***

The following is a GGA-PBE calculation of a relaxed SmEr3Pu2S6 crystal, from Alexandria.

Cell lengths 6.7646, 11.7251, 6.8256 Å; angles 90.00, 109.28, 90.00 degrees
Space group C2/m (No. 12)
Inequivalent atoms, fractional coordinates:
Sm: 0.0000 0.0000 0.0000 (multiplicity 2)
Er: 0.0000 0.1656 0.5000 (multiplicity 4)
Er: 0.0000 0.5000 0.5000 (multiplicity 2)
Pu: 0.0000 0.3332 0.0000 (multiplicity 4)
S: 0.2451 0.3317 0.7405 (multiplicity 8)
S: 0.2502 0.0000 0.7406 (multiplicity 4)

## Properties
**N(E_F)**: 31.24 states/eV per cell
**Electronic total energy**: -7.92 eV per atom
**E_form (uncorrected)**: -1.93 eV per atom
**ρ**: 8.7 Mg/m³
**Total magnetic moment**: 0.961 μB per atom